CaFeHg | PBE-GGA | optimized geometry

abc: 4.6739 4.6739 3.6189
angles: 90.00 90.00 120.00
Space group P-6m2 (No. 187)
Asymmetric unit:
Ca1 0.0000 0.0000 0.0000 [1 per cell]
Fe1 0.6667 0.3333 0.5000 [1 per cell]
Hg1 0.3333 0.6667 0.5000 [1 per cell]

Calculated values
- E: -3.417 eV per atom